RbFeTc2N GGA-PBE relaxed; ΔE_f (raw) = 1.72 eV/atom; calculated density = 6.2 g/cm³; total DFT energy (no corrections) = -5.98 eV/atom
1.0
5.208 0.000 0.000
0.000 3.494 0.000
0.000 0.000 5.208
N Tc Rb Fe
1 2 1 1
direct
0.000 0.500 0.000
0.000 0.000 0.500
0.500 0.000 0.000
0.500 0.500 0.500
0.000 0.000 0.000